Crystalline IrRu2Rh8 at its relaxed geometry, computed with PBE.

Geometry as POSCAR:
```
IrRu2Rh8
1.0
5.7245 -3.4312 0.0000
5.7245 3.4312 0.0000
-0.9467 0.0000 4.4652
Ir Ru Rh
1 2 8
direct
0.0000 0.0000 0.0000
0.1252 0.1252 0.5397
0.8748 0.8748 0.4603
0.2282 0.2282 0.1027
0.2370 0.6173 0.2135
0.3597 0.3597 0.6754
0.3827 0.7630 0.7865
0.6173 0.2370 0.2135
0.6403 0.6403 0.3246
0.7630 0.3827 0.7865
0.7718 0.7718 0.8973
```

## Properties
V	15.9	Å³ per atom
M_tot	0.00	μB per cell
polymorph energy (0 for the lowest one)	0.330	eV/atom
ΔE_f	509	meV per atom
DFT total energy	-7.33	eV/atom